# FeAsC3

A crystal of FeAsC3 relaxed with PBEsol (meta-GGA SCAN, Alexandria via LeMat-Bulk).

The structure in CIF format:
```
data_FeAsC3
_chemical_formula_sum 'Fe1 As1 C3'
_cell_length_a 3.840
_cell_length_b 3.840
_cell_length_c 3.840
_cell_angle_alpha 90.00
_cell_angle_beta 90.00
_cell_angle_gamma 90.00
_space_group_name_H-M_alt 'P m -3 m'
_space_group_IT_number 221
_space_group_name_Hall '-P 4 2 3'
loop_
_atom_site_label
_atom_site_type_symbol
_atom_site_fract_x
_atom_site_fract_y
_atom_site_fract_z
Fe1 Fe 0.000 0.000 0.000
As1 As 0.500 0.500 0.500
C1 C 0.000 0.500 0.500
```

Summary:
Calculated volume, Å³ per atom: 11.33
D(E_F), states/eV/cell: 3.3
DFT formation energy, meV/atom: 2762



# MnBPRu2

A crystal of MnBPRu2 relaxed with PBEsol (meta-GGA SCAN, Alexandria via LeMat-Bulk).

The structure in CIF format:
```
data_MnBPRu2
_chemical_formula_sum 'Mn1 B1 P1 Ru2'
_cell_length_a 3.989
_cell_length_b 3.989
_cell_length_c 3.764
_cell_angle_alpha 90.00
_cell_angle_beta 90.00
_cell_angle_gamma 90.00
_space_group_name_H-M_alt 'P 4/m m m'
_space_group_IT_number 123
_space_group_name_Hall '-P 4 2'
loop_
_atom_site_label
_atom_site_type_symbol
_atom_site_fract_x
_atom_site_fract_y
_atom_site_fract_z
Mn1 Mn 0.000 0.000 0.000
B1 B 0.000 0.000 0.500
P1 P 0.500 0.500 0.000
Ru1 Ru 0.000 0.500 0.500
```

Summary:
Calculated volume, Å³ per atom: 11.98
D(E_F), states/eV/cell: 4.1
DFT formation energy, meV/atom: 209



# Ca2YBr

A crystal of Ca2YBr relaxed with PBEsol (meta-GGA SCAN, Alexandria via LeMat-Bulk).

The structure in CIF format:
```
data_Ca2YBr
_chemical_formula_sum 'Ca8 Y4 Br4'
_cell_length_a 8.087
_cell_length_b 8.087
_cell_length_c 8.087
_cell_angle_alpha 90.00
_cell_angle_beta 90.00
_cell_angle_gamma 90.00
_space_group_name_H-M_alt 'F -4 3 m'
_space_group_IT_number 216
_space_group_name_Hall 'F -4 2 3'
loop_
_atom_site_label
_atom_site_type_symbol
_atom_site_fract_x
_atom_site_fract_y
_atom_site_fract_z
Ca1 Ca 0.000 0.000 0.000
Ca2 Ca 0.250 0.250 0.250
Y1 Y 0.250 0.250 0.750
Br1 Br 0.000 0.000 0.500
```

Summary:
Calculated volume, Å³ per atom: 33.06
D(E_F), states/eV/cell: 18.8
ΔE_f (raw), meV/atom: 74.1